No. 1
DFT (PBE) results for a relaxed ScTcTe2 crystal.

Lattice parameters (Å, degrees): 3.3256 3.3256 8.6822 90.00 90.00 90.00
Closest atoms and distances in Å follow each position.
Fractional positions:
Sc  0.0000  0.0000  0.0000  4 Tc 2.97, 5 Te 3.05-3.20, 4 Sc 3.33
Tc  0.5000  0.5000  0.2092  4 Te 2.73, 4 Sc 2.97
Te  0.0000  0.0000  0.3686  4 Tc 2.73
Te  0.5000  0.5000  0.7763  4 Sc 3.05, 4 Te 3.33

Results
formation energy from raw total energies	-0.392	eV per atom
E	-6.14	eV/atom
V	24.01	A^3/atom
distance to the lowest polymorph of the same formula	0	meV per atom
space-group type	P4mm, No. 99

No. 2
DFT (PBE) results for a relaxed Tl2PRuO6 crystal.

Lattice parameters (Å, degrees): 5.0709 5.0710 6.5885 67.52 67.52 90.00
Closest atoms and distances in Å follow each position.
Fractional positions:
Tl  0.2503  0.2495  0.0000  4 O 2.69-2.70
Tl  0.7497  0.7505  0.0000  4 O 2.69-2.70
P  0.5000  0.0000  0.5000  4 O 1.63
Ru  0.0000  0.5000  0.5000  2 O 1.86
O  0.1675  0.6668  0.1638  1 Ru 1.86
O  0.2134  0.1476  0.5004  1 P 1.63
O  0.3519  0.7133  0.5006  1 P 1.63
O  0.6481  0.2867  0.4994  1 P 1.63
O  0.7866  0.8524  0.4996  1 P 1.63
O  0.8325  0.3332  0.8362  1 Ru 1.86

Results
formation energy from raw total energies	-0.910	eV per atom
E	-5.83	eV/atom
V	14.25	A^3/atom
space-group type	P-1, No. 2

No. 3
DFT (PBE) results for a relaxed CaLa14Al crystal.

Lattice parameters (Å, degrees): 7.3688 7.3688 10.3507 90.00 90.00 90.00
Closest atoms and distances in Å follow each position.
Fractional positions:
Ca  0.0000  0.0000  0.0000  12 La 3.68-3.74
La  0.0000  0.0000  0.5000  12 La 3.68-3.82
La  0.0000  0.5000  0.0000  8 La 3.64, 2 Al 3.68, 2 Ca 3.68
La  0.0000  0.5000  0.5000  12 La 3.68-3.72
La  0.2644  0.2644  0.2445  8 La 3.47-3.82, 1 Al 3.53, 1 Ca 3.74
La  0.2644  0.2644  0.7555  8 La 3.47-3.82, 1 Al 3.53, 1 Ca 3.74
La  0.2644  0.7356  0.2445  8 La 3.47-3.82, 1 Al 3.53, 1 Ca 3.74
La  0.2644  0.7356  0.7555  8 La 3.47-3.82, 1 Al 3.53, 1 Ca 3.74
La  0.5000  0.0000  0.0000  8 La 3.64, 2 Al 3.68, 2 Ca 3.68
La  0.5000  0.0000  0.5000  12 La 3.68-3.72
La  0.5000  0.5000  0.5000  12 La 3.61-3.68
La  0.7356  0.2644  0.2445  8 La 3.47-3.82, 1 Al 3.53, 1 Ca 3.74
La  0.7356  0.2644  0.7555  8 La 3.47-3.82, 1 Al 3.53, 1 Ca 3.74
La  0.7356  0.7356  0.2445  8 La 3.47-3.82, 1 Al 3.53, 1 Ca 3.74
La  0.7356  0.7356  0.7555  8 La 3.47-3.82, 1 Al 3.53, 1 Ca 3.74
Al  0.5000  0.5000  0.0000  12 La 3.53-3.68

Results
E	-4.68	eV/atom
V	35.13	A^3/atom
ΔH_f (0 K)	-0.01	eV per atom
space-group type	P4/mmm, No. 123

No. 4
DFT (PBE) results for a relaxed Zn2Ni8Mo crystal.

Lattice parameters (Å, degrees): 6.0909 6.0909 3.8219 90.00 90.00 105.89
Closest atoms and distances in Å follow each position.
Fractional positions:
Zn  0.1236  0.8764  0.0000  4 Ni 2.29-2.43, 1 Zn 2.40
Zn  0.8764  0.1236  0.0000  4 Ni 2.29-2.43, 1 Zn 2.40
Ni  0.1680  0.1680  0.5000  1 Mo 2.44, 5 Ni 2.47-2.59, 4 Zn 2.57
Ni  0.1998  0.4630  0.0000  2 Zn 2.43-2.68, 7 Ni 2.48-2.59, 2 Mo 2.61
Ni  0.2543  0.7457  0.5000  2 Zn 2.29, 1 Mo 2.39, 4 Ni 2.53
Ni  0.4630  0.1998  0.0000  2 Zn 2.43-2.68, 7 Ni 2.48-2.59, 2 Mo 2.61
Ni  0.5370  0.8002  0.0000  2 Zn 2.43-2.68, 7 Ni 2.48-2.59, 2 Mo 2.61
Ni  0.7457  0.2543  0.5000  2 Zn 2.29, 1 Mo 2.39, 4 Ni 2.53
Ni  0.8002  0.5370  0.0000  2 Zn 2.43-2.68, 7 Ni 2.48-2.59, 2 Mo 2.61
Ni  0.8320  0.8320  0.5000  1 Mo 2.44, 5 Ni 2.47-2.59, 4 Zn 2.57
Mo  0.5000  0.5000  0.5000  12 Ni 2.39-2.61

Results
E	-5.34	eV/atom
V	12.40	A^3/atom
ΔH_f (0 K)	0.08	eV per atom
space-group type	Cmmm, No. 65

No. 5
DFT (PBE) results for a relaxed Ac2Er3Tl4 crystal.

Lattice parameters (Å, degrees): 9.3914 9.3914 9.1868 90.00 90.00 134.71
Closest atoms and distances in Å follow each position.
Fractional positions:
Ac  0.1110  0.8890  0.9200  8 Tl 3.55-3.85, 4 Er 3.83-3.97
Ac  0.3890  0.6110  0.4200  8 Tl 3.55-3.85, 4 Er 3.83-3.97
Ac  0.6110  0.3890  0.5800  8 Tl 3.55-3.85, 4 Er 3.83-3.97
Ac  0.8890  0.1110  0.0800  8 Tl 3.55-3.85, 4 Er 3.83-3.97
Er  0.0000  0.0000  0.5000  6 Tl 3.01-3.21
Er  0.0340  0.4660  0.7500  5 Tl 3.04-3.28
Er  0.4660  0.0340  0.2500  5 Tl 3.04-3.28
Er  0.5000  0.5000  0.0000  6 Tl 3.01-3.21
Er  0.5340  0.9660  0.7500  5 Tl 3.04-3.28
Er  0.9660  0.5340  0.2500  5 Tl 3.04-3.28
Tl  0.1838  0.8162  0.5418  5 Er 3.15-3.28
Tl  0.2096  0.2904  0.7500  3 Er 3.01-3.04
Tl  0.2904  0.2096  0.2500  3 Er 3.01-3.04
Tl  0.3162  0.6838  0.0418  5 Er 3.15-3.28
Tl  0.6838  0.3162  0.9582  5 Er 3.15-3.28
Tl  0.7096  0.7904  0.7500  3 Er 3.01-3.04
Tl  0.7904  0.7096  0.2500  3 Er 3.01-3.04
Tl  0.8162  0.1838  0.4582  5 Er 3.15-3.28

Results
E	-3.76	eV/atom
V	31.99	A^3/atom
distance to the lowest polymorph of the same formula	84	meV per atom
ΔH_f (0 K)	-0.27	eV per atom
space-group type	Cmce, No. 64

No. 6
DFT (PBE) results for a relaxed KAuClF2 crystal.

Lattice parameters (Å, degrees): 4.5653 4.5653 4.9642 90.00 90.00 90.00
Closest atoms and distances in Å follow each position.
Fractional positions:
K  0.0000  0.0000  0.0000  4 Cl 3.23, 8 F 3.37
Au  0.5000  0.5000  0.5000  4 F 2.28, 2 Cl 2.48
Cl  0.5000  0.5000  0.0000  2 Au 2.48
F  0.0000  0.5000  0.5000  2 Au 2.28
F  0.5000  0.0000  0.5000  2 Au 2.28

Results
formation energy from raw total energies	-1.384	eV per atom
E	-3.38	eV/atom
V	20.69	A^3/atom
space-group type	P4/mmm, No. 123

No. 7
DFT (PBE) results for a relaxed Mg5In4 crystal.

Lattice parameters (Å, degrees): 8.9850 8.9850 6.1553 90.00 90.00 120.00
Closest atoms and distances in Å follow each position.
Fractional positions:
Mg  0.0000  0.3048  0.2500  7 In 2.96-3.14
Mg  0.0000  0.6952  0.7500  7 In 2.96-3.14
Mg  0.3048  0.0000  0.2500  7 In 2.96-3.14
Mg  0.3048  0.3048  0.7500  7 In 2.96-3.14
Mg  0.3333  0.6667  0.0000  2 Mg 3.08, 6 In 3.25
Mg  0.3333  0.6667  0.5000  2 Mg 3.08, 6 In 3.25
Mg  0.6667  0.3333  0.0000  2 Mg 3.08, 6 In 3.25
Mg  0.6667  0.3333  0.5000  2 Mg 3.08, 6 In 3.25
Mg  0.6952  0.0000  0.7500  7 In 2.96-3.14
Mg  0.6952  0.6952  0.2500  7 In 2.96-3.14
In  0.0000  0.0000  0.0000  2 In 3.08, 6 Mg 3.14
In  0.0000  0.0000  0.5000  2 In 3.08, 6 Mg 3.14
In  0.0000  0.3658  0.7500  9 Mg 2.96-3.25
In  0.0000  0.6342  0.2500  9 Mg 2.96-3.25
In  0.3658  0.0000  0.7500  9 Mg 2.96-3.25
In  0.3658  0.3658  0.2500  9 Mg 2.96-3.25
In  0.6342  0.0000  0.2500  9 Mg 2.96-3.25
In  0.6342  0.6342  0.7500  9 Mg 2.96-3.25

Results
E	-2.15	eV/atom
V	23.91	A^3/atom
distance to the lowest polymorph of the same formula	19	meV per atom
ΔH_f (0 K)	-0.05	eV per atom
space-group type	P6_3/mcm, No. 193

No. 8
DFT (PBE) results for a relaxed LaTe2Au2 crystal.

Lattice parameters (Å, degrees): 6.0780 6.0780 6.0780 127.75 127.75 77.03
Closest atoms and distances in Å follow each position.
Fractional positions:
La  0.0000  0.0000  0.0000  2 Au 3.41, 8 Te 3.58
Te  0.2500  0.7500  0.5000  4 Au 2.87
Te  0.7500  0.2500  0.5000  4 Au 2.87
Au  0.3589  0.3589  0.0000  1 Au 2.68, 4 Te 2.87
Au  0.6411  0.6411  0.0000  1 Au 2.68, 4 Te 2.87

Results
formation energy from raw total energies	-0.515	eV per atom
E	-4.07	eV/atom
V	27.25	A^3/atom
distance to the lowest polymorph of the same formula	130	meV per atom
space-group type	I4/mmm, No. 139